The following is a DFT calculation (PBE) of Ce2RuAu after structural relaxation.

Unit cell a=4.0387 b=4.0387 c=21.1520 alpha=90.00 beta=90.00 gamma=120.00
With the nearest neighbours (Å) after each atom.
Space group R-3m (No. 166, hexagonal axes)
Asymmetric unit:
Ce 0.0000 0.0000 0.2391 [6 per cell]  3 Ru 2.79, 3 Au 3.07
Ru 0.0000 0.0000 0.5000 [3 per cell]  6 Ce 2.79
Au 0.0000 0.0000 0.0000 [3 per cell]  6 Ce 3.07

Values from the calculation:
Formation enthalpy at 0 K in kJ per mole of atoms: -43.1
E_tot in eV/atom: -6.55
DOS at the Fermi energy in states/eV/atom: 1.732



The following is a DFT calculation (PBE) of Ce5Ru2Au2 after structural relaxation.

Unit cell a=15.2490 b=7.6147 c=7.5801 alpha=90.00 beta=90.00 gamma=90.00
With the nearest neighbours (Å) after each atom.
Space group Cmce (No. 64)
Asymmetric unit:
Ce 0.0000 0.0000 0.0000 [4 per cell]  4 Ru 2.93-2.95
Ce 0.1257 0.1789 0.3250 [16 per cell]  2 Ru 2.76-3.07, 1 Au 3.07
Ru 0.0000 0.1381 0.6394 [8 per cell]  6 Ce 2.76-3.07, 1 Ru 2.98
Au 0.2166 0.0000 0.0000 [8 per cell]  7 Ce 3.07-3.30

Values from the calculation:
Formation enthalpy at 0 K in kJ per mole of atoms: -43.7
E_tot in eV/atom: -6.54
DOS at the Fermi energy in states/eV/atom: 2.635
Distance to the lowest polymorph of the same formula in meV per atom: 0



The following is a DFT calculation (PBE) of Ce6Ru2Au after structural relaxation.

Unit cell a=10.1836 b=4.8927 c=8.6383 alpha=90.00 beta=97.94 gamma=90.00
With the nearest neighbours (Å) after each atom.
Space group C2/m (No. 12)
Asymmetric unit:
Ce 0.0497 0.0000 0.3584 [4 per cell]  3 Ce 2.77-2.93, 3 Ru 2.99-3.03, 1 Au 3.07
Ce 0.1107 0.5000 0.6757 [4 per cell]  2 Ce 2.93, 3 Ru 2.98-3.02
Ce 0.1918 0.5000 0.0960 [4 per cell]  1 Ru 2.41
Ru 0.2271 0.5000 0.3774 [4 per cell]  1 Ce 2.41
Au 0.0000 0.0000 0.0000 [2 per cell]  8 Ce 3.07-3.36

Values from the calculation:
Formation enthalpy at 0 K in kJ per mole of atoms: -36.4
E_tot in eV/atom: -6.76
DOS at the Fermi energy in states/eV/atom: 1.893
Distance to the lowest polymorph of the same formula in meV per atom: 0



The following is a DFT calculation (PBE) of Ce6Ru5Au after structural relaxation.

Unit cell a=6.9976 b=11.3593 c=7.0870 alpha=90.00 beta=106.65 gamma=90.00
With the nearest neighbours (Å) after each atom.
Space group C2/m (No. 12)
Asymmetric unit:
Ce 0.2122 0.0000 0.2284 [4 per cell]  5 Ru 2.75-2.79, 1 Au 2.92
Ce 0.2332 0.1765 0.7258 [8 per cell]  5 Ru 2.78-2.91, 1 Au 3.03
Ru 0.0000 0.0000 0.5000 [2 per cell]  6 Ce 2.75-2.78
Ru 0.0000 0.1834 0.0000 [4 per cell]  6 Ce 2.78-2.87
Ru 0.0000 0.3687 0.5000 [4 per cell]  6 Ce 2.79-2.91, 1 Ru 2.98
Au 0.0000 0.5000 0.0000 [2 per cell]  6 Ce 2.92-3.03

Values from the calculation:
Formation enthalpy at 0 K in kJ per mole of atoms: -29.3
E_tot in eV/atom: -7.41
DOS at the Fermi energy in states/eV/atom: 1.032



The following is a DFT calculation (PBE) of Ce2RuAu after structural relaxation.

Unit cell a=3.5045 b=3.5045 c=7.3793 alpha=90.00 beta=90.00 gamma=90.00
With the nearest neighbours (Å) after each atom.
Space group P4/mmm (No. 123)
Asymmetric unit:
Ce 0.0000 0.0000 0.2236 [2 per cell]  4 Ru 2.98, 4 Au 3.21, 1 Ce 3.30
Ru 0.5000 0.5000 0.0000 [1 per cell]  8 Ce 2.98
Au 0.5000 0.5000 0.5000 [1 per cell]  8 Ce 3.21, 4 Au 3.50

Values from the calculation:
Formation enthalpy at 0 K in kJ per mole of atoms: -43.9
E_tot in eV/atom: -6.56
DOS at the Fermi energy in states/eV/atom: 2.325



The following is a DFT calculation (PBE) of Ce6RuAu after structural relaxation.

Unit cell a=12.6806 b=5.1097 c=7.8219 alpha=90.00 beta=123.55 gamma=90.00
With the nearest neighbours (Å) after each atom.
Space group C2/m (No. 12)
Asymmetric unit:
Ce 0.1157 0.0000 0.4557 [4 per cell]  3 Ce 2.71-2.92, 1 Au 3.01
Ce 0.1288 0.5000 0.2868 [4 per cell]  3 Ce 2.71-2.92, 1 Ru 2.91
Ce 0.2146 0.5000 0.8465 [4 per cell]  1 Ru 2.57
Ru 0.0000 0.5000 0.5000 [2 per cell]  2 Ce 2.57
Au 0.0000 0.0000 0.0000 [2 per cell]  8 Ce 3.01-3.19

Values from the calculation:
Formation enthalpy at 0 K in kJ per mole of atoms: -15.0
E_tot in eV/atom: -6.17
DOS at the Fermi energy in states/eV/atom: 2.446
Distance to the lowest polymorph of the same formula in meV per atom: 32



The following is a DFT calculation (PBE) of Ce5RuAu2 after structural relaxation.

Unit cell a=7.5337 b=11.6805 c=4.6697 alpha=90.00 beta=90.00 gamma=90.00
With the nearest neighbours (Å) after each atom.
Space group Pbam (No. 55)
Asymmetric unit:
Ce 0.0000 0.0000 0.0000 [2 per cell]  4 Au 3.25, 6 Ce 3.26-3.50
Ce 0.1253 0.2885 0.0000 [4 per cell]  1 Ru 2.64
Ce 0.2120 0.5578 0.5000 [4 per cell]  2 Ru 2.91, 2 Au 3.14-3.15
Ru 0.0000 0.5000 0.0000 [2 per cell]  6 Ce 2.64-2.91
Au 0.1000 0.8172 0.5000 [4 per cell]  9 Ce 3.14-3.27

Values from the calculation:
Formation enthalpy at 0 K in kJ per mole of atoms: -40.4
E_tot in eV/atom: -6.11
DOS at the Fermi energy in states/eV/atom: 3.118



The following is a DFT calculation (PBE) of Ce2RuAu after structural relaxation.

Unit cell a=4.0479 b=4.0479 c=21.3301 alpha=90.00 beta=90.00 gamma=120.00
With the nearest neighbours (Å) after each atom.
Space group R3m (No. 160, hexagonal axes)
Asymmetric unit:
Ce 0.0000 0.0000 0.0000 [3 per cell]  3 Ru 2.78, 3 Au 3.09
Ce 0.0000 0.0000 0.1910 [3 per cell]  3 Ru 2.79, 3 Au 3.11
Ru 0.0000 0.0000 0.5959 [3 per cell]  6 Ce 2.78-2.79
Au 0.0000 0.0000 0.7615 [3 per cell]  6 Ce 3.09-3.11

Values from the calculation:
Formation enthalpy at 0 K in kJ per mole of atoms: -41.6
E_tot in eV/atom: -6.54
DOS at the Fermi energy in states/eV/atom: 1.997



The following is a DFT calculation (PBE) of CeRuAu after structural relaxation.

Unit cell a=4.0253 b=4.0253 c=8.1176 alpha=90.00 beta=90.00 gamma=90.00
With the nearest neighbours (Å) after each atom.
Space group I4mm (No. 107)
Asymmetric unit:
Ce 0.0000 0.0000 0.0000 [2 per cell]  1 Ru 2.24
Ru 0.0000 0.0000 0.7244 [2 per cell]  1 Ce 2.24
Au 0.0000 0.0000 0.3632 [2 per cell]  5 Ru 2.93-3.06, 5 Ce 2.95-3.06

Values from the calculation:
Formation enthalpy at 0 K in kJ per mole of atoms: -20.2
E_tot in eV/atom: -6.37
DOS at the Fermi energy in states/eV/atom: 1.182
Distance to the lowest polymorph of the same formula in meV per atom: 22



The following is a DFT calculation (PBE) of Ce3RuAu2 after structural relaxation.

Unit cell a=14.0382 b=5.8641 c=7.2535 alpha=90.00 beta=102.41 gamma=90.00
With the nearest neighbours (Å) after each atom.
Space group C2/c (No. 15)
Asymmetric unit:
Ce 0.0000 0.1513 0.2500 [4 per cell]  2 Ru 2.86-3.00, 4 Au 3.03-3.16
Ce 0.1606 0.3922 0.6383 [8 per cell]  1 Ru 2.56
Ru 0.0000 0.3602 0.7500 [4 per cell]  3 Ce 2.56-2.86
Au 0.1620 0.1091 0.0097 [8 per cell]  1 Au 3.00, 1 Ru 3.01, 7 Ce 3.03-3.18

Values from the calculation:
Formation enthalpy at 0 K in kJ per mole of atoms: -50.1
E_tot in eV/atom: -6.12
DOS at the Fermi energy in states/eV/atom: 2.328



The following is a DFT calculation (PBE) of Ce5Ru2Au2 after structural relaxation.

Unit cell a=18.5365 b=6.5990 c=7.2242 alpha=90.00 beta=90.00 gamma=90.00
With the nearest neighbours (Å) after each atom.
Space group Ima2 (No. 46)
Asymmetric unit:
Ce 0.0733 0.1654 0.0000 [8 per cell]  1 Ru 2.59
Ce 0.1710 0.6523 0.1447 [8 per cell]  2 Au 2.89-2.94, 1 Ce 2.93, 2 Ru 2.93-3.05
Ce 0.2500 0.1526 0.2822 [4 per cell]  2 Ru 2.49-2.60
Ru 0.0000 0.0000 0.7351 [4 per cell]  2 Ce 2.59
Ru 0.2500 0.0072 0.9639 [4 per cell]  2 Ce 2.49-2.60
Au 0.0650 0.6114 0.8441 [8 per cell]  1 Au 2.82, 4 Ce 2.89-3.16, 2 Ru 2.94-3.16

Values from the calculation:
Formation enthalpy at 0 K in kJ per mole of atoms: -36.5
E_tot in eV/atom: -6.46
DOS at the Fermi energy in states/eV/atom: 2.218
Distance to the lowest polymorph of the same formula in meV per atom: 74



The following is a DFT calculation (PBE) of Ce2RuAu after structural relaxation.

Unit cell a=4.4664 b=4.4664 c=5.7781 alpha=90.00 beta=90.00 gamma=120.00
With the nearest neighbours (Å) after each atom.
Space group P-3m1 (No. 164)
Asymmetric unit:
Ce 0.3333 0.6667 0.2180 [2 per cell]  3 Ru 2.87, 3 Au 3.05
Ru 0.0000 0.0000 0.0000 [1 per cell]  6 Ce 2.87, 2 Au 2.89
Au 0.0000 0.0000 0.5000 [1 per cell]  2 Ru 2.89, 6 Ce 3.05

Values from the calculation:
Formation enthalpy at 0 K in kJ per mole of atoms: -43.5
E_tot in eV/atom: -6.56
DOS at the Fermi energy in states/eV/atom: 2.466



The following is a DFT calculation (PBE) of Ce8Ru3Au2 after structural relaxation.

Unit cell a=15.0244 b=7.2590 c=6.8563 alpha=90.00 beta=104.74 gamma=90.00
With the nearest neighbours (Å) after each atom.
Space group C2/m (No. 12)
Asymmetric unit:
Ce 0.0935 0.0000 0.3998 [4 per cell]  2 Ru 2.74, 1 Au 2.94
Ce 0.1105 0.2459 0.8791 [8 per cell]  2 Ru 2.73-2.75, 1 Au 3.01
Ce 0.1413 0.5000 0.3658 [4 per cell]  3 Ru 2.84-2.93, 1 Au 3.08
Ru 0.0000 0.2940 0.5000 [4 per cell]  6 Ce 2.73-2.93, 1 Ru 2.99
Ru 0.0000 0.5000 0.0000 [2 per cell]  6 Ce 2.75-2.84
Au 0.2427 0.0000 0.1935 [4 per cell]  6 Ce 2.94-3.10

Values from the calculation:
Formation enthalpy at 0 K in kJ per mole of atoms: -23.1
E_tot in eV/atom: -6.54
DOS at the Fermi energy in states/eV/atom: 2.964
Distance to the lowest polymorph of the same formula in meV per atom: 90



The following is a DFT calculation (PBE) of Ce2RuAu after structural relaxation.

Unit cell a=6.0392 b=8.7392 c=7.2273 alpha=90.00 beta=90.00 gamma=90.00
With the nearest neighbours (Å) after each atom.
Space group Pna2_1 (No. 33)
Asymmetric unit:
Ce 0.0002 0.0241 0.0000 [4 per cell]  1 Ru 2.65
Ce 0.0001 0.4014 0.2838 [4 per cell]  1 Ru 2.34
Ru 0.0006 0.3267 0.9726 [4 per cell]  1 Ce 2.34
Au 0.2504 0.2497 0.6499 [4 per cell]  2 Ru 2.86, 2 Au 3.02, 2 Ce 3.03

Values from the calculation:
Formation enthalpy at 0 K in kJ per mole of atoms: -31.5
E_tot in eV/atom: -6.43
DOS at the Fermi energy in states/eV/atom: 1.984



The following is a DFT calculation (PBE) of Ce8Ru3Au2 after structural relaxation.

Unit cell a=7.6812 b=4.8070 c=8.5717 alpha=90.00 beta=105.02 gamma=90.00
With the nearest neighbours (Å) after each atom.
Space group P2/m (No. 10)
Asymmetric unit:
Ce 0.0986 0.0000 0.3813 [2 per cell]  3 Ce 2.83-3.00, 3 Ru 2.86-3.16, 1 Au 3.05
Ce 0.2499 0.5000 0.1191 [2 per cell]  2 Ru 2.67-2.91
Ce 0.2625 0.5000 0.5726 [2 per cell]  1 Ru 2.70, 2 Ce 3.00
Ce 0.3102 0.0000 0.9258 [2 per cell]  1 Ru 2.62, 1 Ce 2.86
Ru 0.0000 0.0000 0.0000 [1 per cell]  2 Ce 2.62
Ru 0.0517 0.5000 0.7806 [2 per cell]  5 Ce 2.67-2.91
Au 0.4755 0.0000 0.3280 [2 per cell]  1 Au 2.87, 4 Ce 3.05-3.11

Values from the calculation:
Formation enthalpy at 0 K in kJ per mole of atoms: -31.8
E_tot in eV/atom: -6.63
DOS at the Fermi energy in states/eV/atom: 1.940
Distance to the lowest polymorph of the same formula in meV per atom: 0



The following is a DFT calculation (PBE) of Ce6Ru3Au after structural relaxation.

Unit cell a=10.7825 b=13.6779 c=6.7518 alpha=90.00 beta=90.00 gamma=90.00
With the nearest neighbours (Å) after each atom.
Space group Cmc2_1 (No. 36)
Asymmetric unit:
Ce 0.0000 0.0083 0.0000 [4 per cell]  4 Ru 2.73-2.94
Ce 0.0000 0.2363 0.2698 [4 per cell]  3 Ru 2.83-2.87, 2 Ce 2.86, 1 Au 3.07
Ce 0.1631 0.4305 0.4733 [8 per cell]  2 Ru 2.46-2.63
Ce 0.1898 0.3007 0.0038 [8 per cell]  2 Ru 2.76-3.07, 1 Ce 2.86, 1 Au 3.09
Ru 0.0000 0.4421 0.1853 [4 per cell]  5 Ce 2.63-2.87
Ru 0.1801 0.0868 0.2360 [8 per cell]  2 Ce 2.46-2.73
Au 0.0000 0.2055 0.7207 [4 per cell]  5 Ce 3.07-3.29

Values from the calculation:
Formation enthalpy at 0 K in kJ per mole of atoms: -25.2
E_tot in eV/atom: -6.93
DOS at the Fermi energy in states/eV/atom: 2.019



The following is a DFT calculation (PBE) of Ce4RuAu3 after structural relaxation.

Unit cell a=3.5806 b=3.5806 c=14.8626 alpha=90.00 beta=90.00 gamma=90.00
With the nearest neighbours (Å) after each atom.
Space group P4/mmm (No. 123)
Asymmetric unit:
Ce 0.0000 0.0000 0.1065 [2 per cell]  4 Ru 2.99, 1 Ce 3.16, 4 Au 3.21
Ce 0.0000 0.0000 0.3692 [2 per cell]  8 Au 3.19
Ru 0.5000 0.5000 0.0000 [1 per cell]  8 Ce 2.99
Au 0.5000 0.5000 0.2390 [2 per cell]  8 Ce 3.19-3.21, 1 Ru 3.55
Au 0.5000 0.5000 0.5000 [1 per cell]  8 Ce 3.19

Values from the calculation:
Formation enthalpy at 0 K in kJ per mole of atoms: -50.4
E_tot in eV/atom: -5.88
DOS at the Fermi energy in states/eV/atom: 2.715



The following is a DFT calculation (PBE) of Ce6RuAu after structural relaxation.

Unit cell a=5.0616 b=5.0616 c=15.3646 alpha=90.00 beta=90.00 gamma=90.00
With the nearest neighbours (Å) after each atom.
Space group I4/mmm (No. 139)
Asymmetric unit:
Ce 0.0000 0.0000 0.2259 [4 per cell]  4 Ce 3.08
Ce 0.0000 0.5000 0.1113 [8 per cell]  2 Ru 3.05, 2 Au 3.05, 3 Ce 3.08-3.42
Ru 0.0000 0.0000 0.0000 [2 per cell]  8 Ce 3.05
Au 0.0000 0.0000 0.5000 [2 per cell]  8 Ce 3.05

Values from the calculation:
Formation enthalpy at 0 K in kJ per mole of atoms: -18.1
E_tot in eV/atom: -6.21
DOS at the Fermi energy in states/eV/atom: 2.407
Distance to the lowest polymorph of the same formula in meV per atom: 0



The following is a DFT calculation (PBE) of CeScRuAu after structural relaxation.

Unit cell a=6.9100 b=6.9100 c=6.9100 alpha=90.00 beta=90.00 gamma=90.00
With the nearest neighbours (Å) after each atom.
Space group F-43m (No. 216)
Asymmetric unit:
Ce 0.0000 0.0000 0.0000 [4 per cell]  4 Au 2.99, 4 Ru 2.99
Sc 0.0000 0.0000 0.5000 [4 per cell]  4 Ru 2.99, 4 Au 2.99
Ru 0.2500 0.2500 0.7500 [4 per cell]  4 Ce 2.99, 4 Sc 2.99
Au 0.2500 0.2500 0.2500 [4 per cell]  4 Ce 2.99, 4 Sc 2.99

Values from the calculation:
Formation enthalpy at 0 K in kJ per mole of atoms: -44.6
E_tot in eV/atom: -6.67
DOS at the Fermi energy in states/eV/atom: 1.723



The following is a DFT calculation (PBE) of CeThRuAu after structural relaxation.

Unit cell a=7.2074 b=7.2074 c=7.2074 alpha=90.00 beta=90.00 gamma=90.00
With the nearest neighbours (Å) after each atom.
Space group F-43m (No. 216)
Asymmetric unit:
Ce 0.0000 0.0000 0.0000 [4 per cell]  4 Ru 3.12, 4 Au 3.12
Th 0.0000 0.0000 0.5000 [4 per cell]  4 Ru 3.12, 4 Au 3.12
Ru 0.2500 0.2500 0.7500 [4 per cell]  4 Th 3.12, 4 Ce 3.12
Au 0.2500 0.2500 0.2500 [4 per cell]  4 Th 3.12, 4 Ce 3.12

Values from the calculation:
Formation enthalpy at 0 K in kJ per mole of atoms: -39.4
E_tot in eV/atom: -6.89
DOS at the Fermi energy in states/eV/atom: 1.917